Ni5Pd5Pt2 | GGA-PBE | relaxed

abc: 6.096 6.096 8.608
angles: 115.50 115.50 35.39
Element x y z (fractional)
Ni1 0.000 0.000 0.000
Ni2 0.078 0.078 0.747
Ni3 0.169 0.169 0.500
Ni4 0.831 0.831 0.500
Ni5 0.922 0.922 0.253
Pd1 0.255 0.255 0.258
Pd2 0.339 0.339 0.004
Pd3 0.500 0.500 0.500
Pd4 0.661 0.661 0.996
Pd5 0.745 0.745 0.742
Pt1 0.416 0.416 0.743
Pt2 0.584 0.584 0.257

Results
The density comes out at 12.2 Mg/m³. The value obtained for the density of states at the Fermi level is 1.597 states/eV per atom. The formation energy is 0.00 eV/atom. As for the space group: No. 12. The value obtained for the total energy is -5.582 eV per atom. As for the crystal system: monoclinic.